# 1
This record from Alexandria describes a PBEsol-optimized structure of GaP2O2. The functional is SCAN.

```
GaP2O2
1.0
3.4796 0.0000 0.0000
0.0000 3.4796 0.0000
0.0000 0.0000 4.6805
P Ga O
2 1 2
Direct
0.0000 0.0000 0.5000
0.0000 0.0000 0.0000
0.5000 0.5000 0.5000
0.0000 0.5000 0.0000
0.5000 0.0000 0.0000
```

Calculated total energy = -52.901 eV per formula unit
Space group = P4/mmm
DOS(E_F) = 0.74 states/eV/f.u.
Formation energy from raw total energies = -659 meV/atom
Total magnetic moment = 0.0 μB per formula unit


# 2
This record from Alexandria describes a PBEsol-optimized structure of GaPO4. The functional is SCAN.

```
GaPO4
1.0
4.9635 -0.0069 0.0000
-0.0148 4.9635 0.0000
0.0000 0.0000 6.9443
Ga O P
2 8 2
Direct
0.8132 0.8132 0.0000
0.1868 0.1868 0.5000
0.7746 0.1667 0.9330
0.6194 0.7336 0.2156
0.2664 0.3806 0.2844
0.7336 0.6194 0.7844
0.1667 0.7746 0.0670
0.8333 0.2254 0.5670
0.3806 0.2664 0.7156
0.2254 0.8333 0.4330
0.6836 0.3164 0.7500
0.3164 0.6836 0.2500
```

Calculated total energy = -65.683 eV per formula unit
Space group = C222_1
DOS(E_F) = 0.00 states/eV/f.u.
Formation energy from raw total energies = -2336 meV/atom
Total magnetic moment = 0.0 μB per formula unit


# 3
This record from Alexandria describes a PBEsol-optimized structure of GaPO4. The functional is SCAN.

```
GaPO4
1.0
-0.6946 4.1272 -2.6002
-1.3022 -4.4626 -2.0672
-4.7780 -1.1048 -0.4772
O Ga P
4 1 1
Direct
0.9980 0.2692 0.1438
0.5870 0.7308 0.9980
0.2711 0.2692 0.5870
0.1438 0.7308 0.2711
0.0000 0.0000 0.0000
0.2500 0.5000 0.2500
```

Calculated total energy = -65.701 eV per formula unit
Space group = I-4
DOS(E_F) = 0.00 states/eV/f.u.
Formation energy from raw total energies = -2338 meV/atom
Total magnetic moment = 0.0 μB per formula unit


# 4
This record from Alexandria describes a PBEsol-optimized structure of RbGa2P5O16. The functional is SCAN.

```
RbGa2P5O16
1.0
7.4192 0.0000 0.0033
0.0000 9.2407 0.0000
-3.5913 0.0000 9.4818
Ga O P Rb
4 32 10 2
Direct
0.2117 0.6320 0.1270
0.7117 0.3680 0.6270
0.6643 0.1387 0.0200
0.1643 0.8613 0.5200
0.7666 0.2297 0.2194
0.2666 0.7703 0.7194
0.9931 0.9747 0.5903
0.0541 0.9381 0.3304
0.9929 0.2151 0.4708
0.2202 0.5051 0.5315
0.8787 0.1965 0.6833
0.2270 0.1768 0.7129
0.9992 0.7384 0.1431
0.3503 0.7469 0.4792
0.3869 0.5445 0.8573
0.6495 0.2945 0.4234
0.4675 0.2974 0.9723
0.5541 0.0619 0.8304
0.3639 0.0106 0.5746
0.8503 0.2531 0.9792
0.4992 0.2616 0.6431
0.7270 0.8232 0.2129
0.9675 0.7026 0.4723
0.3787 0.8035 0.1833
0.4450 0.5224 0.1167
0.8639 0.9894 0.0746
0.2827 0.5361 0.3069
0.7827 0.4639 0.8069
0.4931 0.0253 0.0903
0.9450 0.4776 0.6167
0.8869 0.4555 0.3573
0.0614 0.4657 0.0453
0.5614 0.5343 0.5453
0.4929 0.7849 0.9708
0.1495 0.7055 0.9234
0.7202 0.4949 0.0315
0.5151 0.8637 0.1176
0.0151 0.1363 0.6176
0.9260 0.8744 0.1900
0.4260 0.1256 0.6900
0.8062 0.2942 0.3607
0.3062 0.7058 0.8607
0.8598 0.4157 0.9598
0.0003 0.5431 0.5011
0.5003 0.4569 0.0011
0.3598 0.5843 0.4598
0.7482 0.7951 0.7172
0.2482 0.2049 0.2172
```

Calculated total energy = -262.686 eV per formula unit
Space group = Pc
DOS(E_F) = 0.00 states/eV/f.u.
Formation energy from raw total energies = -2398 meV/atom
Total magnetic moment = 0.0 μB per formula unit


# 5
This record from Alexandria describes a PBEsol-optimized structure of GaReP2O. The functional is SCAN.

```
GaReP2O
1.0
3.6959 0.0000 0.0000
0.0000 4.7486 0.0000
0.0000 0.0000 4.7486
Re Ga P O
1 1 2 1
Direct
0.0000 0.0000 0.0000
0.5000 0.5000 0.5000
0.0000 0.0000 0.5000
0.0000 0.5000 0.0000
0.5000 0.0000 0.0000
```

Calculated total energy = -114.594 eV per formula unit
Space group = P4/mmm
DOS(E_F) = 2.84 states/eV/f.u.
Formation energy from raw total energies = -24 meV/atom
Total magnetic moment = 0.0 μB per formula unit


# 6
This record from Alexandria describes a PBEsol-optimized structure of GaP2SO. The functional is SCAN.

```
GaP2SO
1.0
4.5626 0.0000 0.0000
0.0000 4.6259 0.0000
0.0000 0.0000 4.6259
S Ga P O
1 1 2 1
Direct
0.5000 0.0000 0.0000
0.0000 0.0000 0.0000
0.0000 0.0000 0.5000
0.0000 0.5000 0.0000
0.5000 0.5000 0.5000
```

Calculated total energy = -46.220 eV per formula unit
Space group = P4/mmm
DOS(E_F) = 4.12 states/eV/f.u.
Formation energy from raw total energies = 1357 meV/atom
Total magnetic moment = 2.3 μB per formula unit


# 7
This record from Alexandria describes a PBEsol-optimized structure of GaSbPO2. The functional is SCAN.

```
GaSbPO2
1.0
-3.6648 1.1105 -0.0658
-0.8923 -3.0696 -2.1096
-0.8411 -2.5361 4.0460
Ga Sb P O
1 1 1 2
Direct
0.0000 0.0000 0.0000
0.5000 0.5000 0.5000
0.0000 0.0000 0.5000
0.5000 0.0000 0.0000
0.0000 0.5000 0.0000
```

Calculated total energy = -78.247 eV per formula unit
Space group = P4/mmm
DOS(E_F) = 3.57 states/eV/f.u.
Formation energy from raw total energies = -356 meV/atom
Total magnetic moment = 0.0 μB per formula unit


# 8
This record from Alexandria describes a PBEsol-optimized structure of ScGaPO2. The functional is SCAN.

```
ScGaPO2
1.0
3.9018 0.0000 0.0000
0.0000 3.9018 0.0000
0.0000 0.0000 5.4636
Sc Ga P O
1 1 1 2
Direct
0.0000 0.0000 0.0000
0.5000 0.5000 0.5000
0.0000 0.0000 0.5000
0.0000 0.5000 0.0000
0.5000 0.0000 0.0000
```

Calculated total energy = -58.990 eV per formula unit
Space group = P4/mmm
DOS(E_F) = 2.78 states/eV/f.u.
Formation energy from raw total energies = -1109 meV/atom
Total magnetic moment = 1.2 μB per formula unit


# 9
This record from Alexandria describes a PBEsol-optimized structure of GaPSeO2. The functional is SCAN.

```
GaPSeO2
1.0
-3.1483 -1.6305 0.6811
1.4585 -3.1834 -0.8790
1.7555 -0.8646 6.0444
P O Ga Se
1 2 1 1
Direct
0.0000 0.0000 0.5000
0.5000 0.0000 0.0000
0.0000 0.5000 0.0000
0.0000 0.0000 0.0000
0.5000 0.5000 0.5000
```

Calculated total energy = -60.461 eV per formula unit
Space group = P4/mmm
DOS(E_F) = 1.96 states/eV/f.u.
Formation energy from raw total energies = -235 meV/atom
Total magnetic moment = 1.1 μB per formula unit


# 10
This record from Alexandria describes a PBEsol-optimized structure of SrGaPO2. The functional is SCAN.

```
SrGaPO2
1.0
-2.5557 3.5542 0.4319
-2.3251 -1.2440 -3.5210
-3.7144 -3.1021 3.5488
O Sr P Ga
2 1 1 1
Direct
0.5000 0.0000 0.0000
0.0000 0.5000 0.0000
0.0000 0.0000 0.0000
0.0000 0.0000 0.5000
0.5000 0.5000 0.5000
```

Calculated total energy = -61.088 eV per formula unit
Space group = P4/mmm
DOS(E_F) = 3.27 states/eV/f.u.
Formation energy from raw total energies = 79 meV/atom
Total magnetic moment = 2.9 μB per formula unit


# 11
This record from Alexandria describes a PBEsol-optimized structure of TiGaP2O. The functional is SCAN.

```
TiGaP2O
1.0
-0.6899 2.7833 -2.0973
-4.5453 -1.2926 -0.2201
-0.9355 2.6405 3.8120
O Ti Ga P
1 1 1 2
Direct
0.5000 0.0000 0.0000
0.5000 0.5000 0.5000
0.0000 0.0000 0.0000
0.0000 0.0000 0.5000
0.0000 0.5000 0.0000
```

Calculated total energy = -58.882 eV per formula unit
Space group = P4/mmm
DOS(E_F) = 3.54 states/eV/f.u.
Formation energy from raw total energies = 105 meV/atom
Total magnetic moment = 0.0 μB per formula unit


# 12
This record from Alexandria describes a PBEsol-optimized structure of TiGaPO2. The functional is SCAN.

```
TiGaPO2
1.0
3.6588 0.0000 0.0000
0.0000 3.6588 0.0000
0.0000 0.0000 6.3794
P O Ti Ga
1 2 1 1
Direct
0.5000 0.5000 0.5000
0.5000 0.0000 0.0000
0.0000 0.5000 0.0000
0.0000 0.0000 0.0000
0.0000 0.0000 0.5000
```

Calculated total energy = -60.886 eV per formula unit
Space group = P4/mmm
DOS(E_F) = 1.94 states/eV/f.u.
Formation energy from raw total energies = -1130 meV/atom
Total magnetic moment = 0.4 μB per formula unit


Which of these has the highest total magnetic moment? SrGaPO2


Number 1 is which compound? GaP2O2


Among the records above, which one has the highest total magnetic moment? SrGaPO2


Among the records above, which one has the highest total magnetic moment? SrGaPO2